(1)
The following is a DFT calculation (PBE) of a relaxed Cs2RbPa3S8 crystal.

Results
- raw formation energy (kJ per mole of atoms) = -147.50
- energy (eV per cell) = -85.6

Lattice parameters (Å, degrees): 8.3075 8.3075 9.5646 64.26 64.26 60.00
Each line ends with the local moment (μB).
Positions (direct):
Cs1 0.1347 0.1347 0.5959  0.00
Cs2 0.4990 0.4990 0.5031  0.00
Rb1 0.8696 0.8696 0.3913  0.00
Pa1 0.4994 0.9986 0.0027  0.68
Pa2 0.9986 0.4994 0.0027  0.68
Pa3 0.4994 0.4994 0.0027  0.68
S1 0.2752 0.2752 0.1743  -0.02
S2 0.7245 0.7245 0.8265  -0.02
S3 0.2403 0.2403 0.8339  -0.02
S4 0.6856 0.2403 0.8339  -0.02
S5 0.2403 0.6856 0.8339  -0.02
S6 0.7578 0.3105 0.1738  -0.02
S7 0.3105 0.7578 0.1738  -0.02
S8 0.7578 0.7578 0.1738  -0.02



(2)
The following is a DFT calculation (PBE) of a relaxed CsRb2PaS4 crystal.

Results
- raw formation energy (kJ per mole of atoms) = -139.89
- energy (eV per cell) = -40.4

Lattice parameters (Å, degrees): 4.2801 7.9220 10.1368 53.82 77.81 74.33
Positions (direct):
Cs1 0.5000 0.5000 0.5000
Rb1 0.7605 0.7257 0.7533
Rb2 0.2395 0.2743 0.2467
Pa1 0.0000 0.0000 0.0000
S1 0.1071 0.0726 0.7131
S2 0.4063 0.2734 0.9141
S3 0.8929 0.9274 0.2869
S4 0.5937 0.7266 0.0859



(3)
The following is a DFT calculation (PBE) of a relaxed Cs2RbPaS4 crystal.

Results
- raw formation energy (kJ per mole of atoms) = -138.52
- energy (eV per cell) = -40.2

Lattice parameters (Å, degrees): 4.3117 8.0924 8.4023 109.03 90.00 90.00
Positions (direct):
Cs1 0.5000 0.0000 0.5000
Cs2 0.0000 0.5000 0.5000
Rb1 0.5000 0.5000 0.0000
Pa1 0.0000 0.0000 0.0000
S1 0.5000 0.1881 0.1830
S2 0.5000 0.8119 0.8170
S3 0.0000 0.1960 0.8161
S4 0.0000 0.8040 0.1839



Number 1: magnetization 2.04 Bohr magnetons per cell. Number 2: magnetization 0.00 Bohr magnetons per cell. Number 3: magnetization 0.00 Bohr magnetons per cell.